1.
FeCu: optimized geometry, GGA-PBE.

Computed properties:
ρ   8.35 g/cm³
D(E_F)   3.25 states/eV per cell
Total magnetization   4.9 Bohr magnetons per cell
Volume   24 Å³/f.u.

abc: 2.5287 2.5287 8.5744
angles: 90.00 90.00 120.00
Closest atoms and distances in Å follow each position.
Element x y z (fractional)
Fe  0.3333  0.6667  0.3743  9 Fe 2.53-2.60, 3 Cu 2.59
Fe  0.6667  0.3333  0.6257  9 Fe 2.53-2.60, 3 Cu 2.59
Cu  0.3333  0.6667  0.8748  9 Cu 2.53-2.60, 3 Fe 2.59
Cu  0.6667  0.3333  0.1252  9 Cu 2.53-2.60, 3 Fe 2.59


2.
Fe5Cu3: optimized geometry, GGA-PBE.

Computed properties:
ρ   7.92 g/cm³
D(E_F)   15.83 states/eV per cell
Total magnetization   26.4 Bohr magnetons per cell
Volume   98 Å³/f.u.
ΔE to the lowest computed polymorph   172 meV/atom

abc: 7.0608 7.0608 4.5600
angles: 90.00 90.00 120.00
Closest atoms and distances in Å follow each position.
Element x y z (fractional)
Fe  0.0000  0.2129  0.2500  5 Cu 2.50-2.67, 6 Fe 2.60-2.73
Fe  0.0000  0.7871  0.7500  5 Cu 2.50-2.67, 6 Fe 2.60-2.73
Fe  0.2129  0.0000  0.2500  5 Cu 2.50-2.67, 6 Fe 2.60-2.73
Fe  0.2129  0.2129  0.7500  5 Cu 2.50-2.67, 6 Fe 2.60-2.73
Fe  0.3333  0.6667  0.0000  2 Fe 2.28, 6 Cu 2.42
Fe  0.3333  0.6667  0.5000  2 Fe 2.28, 6 Cu 2.42
Fe  0.6667  0.3333  0.0000  2 Fe 2.28, 6 Cu 2.42
Fe  0.6667  0.3333  0.5000  2 Fe 2.28, 6 Cu 2.42
Fe  0.7871  0.0000  0.7500  5 Cu 2.50-2.67, 6 Fe 2.60-2.73
Fe  0.7871  0.7871  0.2500  5 Cu 2.50-2.67, 6 Fe 2.60-2.73
Cu  0.0000  0.4085  0.7500  9 Fe 2.42-2.67, 2 Cu 2.62
Cu  0.0000  0.5915  0.2500  9 Fe 2.42-2.67, 2 Cu 2.62
Cu  0.4085  0.0000  0.7500  9 Fe 2.42-2.67, 2 Cu 2.62
Cu  0.4085  0.4085  0.2500  9 Fe 2.42-2.67, 2 Cu 2.62
Cu  0.5915  0.0000  0.2500  9 Fe 2.42-2.67, 2 Cu 2.62
Cu  0.5915  0.5915  0.7500  9 Fe 2.42-2.67, 2 Cu 2.62


E_tot for the records above, in order: -6.155; -6.527 eV/atom
ΔH_f (0 K) for the records above, in order: 0.124; 0.299 eV/atom